#w
Below is crystalline Na2CdI4 at its relaxed geometry, with properties calculated at the GGA-PBE level.

Lattice parameters (Å, degrees): 16.185 4.579 7.982 90.00 118.66 90.00
Space group C2/m (No. 12)
Unique sites:
Na (0.225, 0.000, 0.204) [4 per cell]
Cd (0.000, 0.500, 0.500) [2 per cell]
I (0.110, 0.500, 0.913) [4 per cell]
I (0.130, 0.000, 0.483) [4 per cell]

Properties
The density of states at the Fermi level comes out at 0.000 states/eV per cell. Its crystal system is monoclinic.

***

#x
Below is crystalline Na2CdI4 at its relaxed geometry, with properties calculated at the GGA-PBE level.

Lattice parameters (Å, degrees): 6.042 6.042 15.914 90.00 90.00 90.00
Space group I4/mmm (No. 139)
Unique sites:
Na (0.000, 0.000, 0.127) [4 per cell]
Cd (0.000, 0.000, 0.500) [2 per cell]
I (0.000, 0.000, 0.318) [4 per cell]
I (0.000, 0.500, 0.000) [4 per cell]

Properties
Its crystal system is tetragonal.

***

#y
Below is crystalline Na2CdI4 at its relaxed geometry, with properties calculated at the GGA-PBE level.

Lattice parameters (Å, degrees): 15.931 9.194 15.954 90.00 109.51 90.00
Space group C2/c (No. 15)
Unique sites:
Na (0.000, 0.000, 0.000) [4 per cell]
Na (0.000, 0.249, 0.250) [4 per cell]
Na (0.000, 0.500, 0.000) [4 per cell]
Na (0.250, 0.250, 0.500) [4 per cell]
Cd (0.187, 0.251, 0.812) [8 per cell]
I (0.123, 0.250, 0.124) [8 per cell]
I (0.124, 0.002, 0.376) [8 per cell]
I (0.124, 0.250, 0.623) [8 per cell]
I (0.124, 0.496, 0.376) [8 per cell]

Properties
The density of states at the Fermi level comes out at 0.000 states/eV per cell. Its crystal system is monoclinic.

***

The least stable of the structures above is #x, whereas #y is the most stable.